(1)
# SmDyNCl3 | the Open Quantum Materials Database | PBE-GGA | relaxed
data_SmDyNCl3
_cell_length_a 8.410
_cell_length_b 8.410
_cell_length_c 10.800
_cell_angle_alpha 119.86
_cell_angle_beta 119.86
_cell_angle_gamma 26.83
_symmetry_space_group_name_H-M 'P 1'
_symmetry_Int_Tables_number 1
loop_
_symmetry_equiv_pos_as_xyz
'x,y,z'
loop_
_atom_site_label
_atom_site_type_symbol
_atom_site_fract_x
_atom_site_fract_y
_atom_site_fract_z
_atom_site_occupancy
Sm1 Sm 0.138 0.138 0.292 1
Sm2 Sm 0.862 0.862 0.708 1
Dy1 Dy 0.416 0.416 0.045 1
Dy2 Dy 0.584 0.584 0.955 1
N1 N 0.426 0.426 0.846 1
N2 N 0.574 0.574 0.154 1
Cl1 Cl 0.050 0.050 0.754 1
Cl2 Cl 0.219 0.219 0.110 1
Cl3 Cl 0.336 0.336 0.487 1
Cl4 Cl 0.664 0.664 0.513 1
Cl5 Cl 0.781 0.781 0.890 1
Cl6 Cl 0.950 0.950 0.246 1
# Final energy (eV per cell): -71.83
# ρ (kg/m3): 4858
# Magnetic moment (μB per cell): 0.01
# Energy above the lowest structure with this stoichiometry (kJ per mole of atoms): 0.0

(2)
# Ho2LuCu4Ge4 | the Open Quantum Materials Database | PBE-GGA | relaxed
data_Ho2LuCu4Ge4
_cell_length_a 7.951
_cell_length_b 7.951
_cell_length_c 7.951
_cell_angle_alpha 149.58
_cell_angle_beta 130.80
_cell_angle_gamma 58.95
_symmetry_space_group_name_H-M 'P 1'
_symmetry_Int_Tables_number 1
loop_
_symmetry_equiv_pos_as_xyz
'x,y,z'
loop_
_atom_site_label
_atom_site_type_symbol
_atom_site_fract_x
_atom_site_fract_y
_atom_site_fract_z
_atom_site_occupancy
Ho1 Ho 0.130 0.130 0.000 1
Ho2 Ho 0.870 0.870 0.000 1
Lu1 Lu 0.500 0.000 0.500 1
Cu1 Cu 0.140 0.331 0.809 1
Cu2 Cu 0.479 0.669 0.809 1
Cu3 Cu 0.521 0.331 0.191 1
Cu4 Cu 0.860 0.669 0.191 1
Ge1 Ge 0.193 0.500 0.693 1
Ge2 Ge 0.284 0.784 0.500 1
Ge3 Ge 0.716 0.216 0.500 1
Ge4 Ge 0.807 0.500 0.307 1
# Final energy (eV per cell): -53.82
# ρ (kg/m3): 9117
# Magnetic moment (μB per cell): 0.00

Repeat the first record exactly.
# SmDyNCl3 | the Open Quantum Materials Database | PBE-GGA | relaxed
data_SmDyNCl3
_cell_length_a 8.410
_cell_length_b 8.410
_cell_length_c 10.800
_cell_angle_alpha 119.86
_cell_angle_beta 119.86
_cell_angle_gamma 26.83
_symmetry_space_group_name_H-M 'P 1'
_symmetry_Int_Tables_number 1
loop_
_symmetry_equiv_pos_as_xyz
'x,y,z'
loop_
_atom_site_label
_atom_site_type_symbol
_atom_site_fract_x
_atom_site_fract_y
_atom_site_fract_z
_atom_site_occupancy
Sm1 Sm 0.138 0.138 0.292 1
Sm2 Sm 0.862 0.862 0.708 1
Dy1 Dy 0.416 0.416 0.045 1
Dy2 Dy 0.584 0.584 0.955 1
N1 N 0.426 0.426 0.846 1
N2 N 0.574 0.574 0.154 1
Cl1 Cl 0.050 0.050 0.754 1
Cl2 Cl 0.219 0.219 0.110 1
Cl3 Cl 0.336 0.336 0.487 1
Cl4 Cl 0.664 0.664 0.513 1
Cl5 Cl 0.781 0.781 0.890 1
Cl6 Cl 0.950 0.950 0.246 1
# Final energy (eV per cell): -71.83
# ρ (kg/m3): 4858
# Magnetic moment (μB per cell): 0.01
# Energy above the lowest structure with this stoichiometry (kJ per mole of atoms): 0.0